The following is a PBE-GGA calculation of a geometry-optimized Tb2SbN structure, from Alexandria.

uncorrected formation energy: -1.182 eV per atom
uncorrected energy: -6.61 eV per atom

a b c (Å): 3.6004 3.6004 22.5322
angles (deg): 90.00 90.00 120.00
Last column: nearest neighbours and their distance in Å.
Space group R-3m (No. 166, hexagonal axes)
Inequivalent atoms, fractional coordinates:
Tb  0.0000  0.0000  0.2247 (multiplicity 6)  3 N 2.46
Sb  0.0000  0.0000  0.0000 (multiplicity 3)  6 Tb 3.21
N  0.0000  0.0000  0.5000 (multiplicity 3)  6 Tb 2.46


The following is a PBE-GGA calculation of a geometry-optimized ThZnRu structure, from Alexandria.

E_form: -0.84 eV per formula unit
uncorrected energy: -6.27 eV per atom

a b c (Å): 4.3989 4.3989 3.7603
angles (deg): 90.00 90.00 120.00
Last column: nearest neighbours and their distance in Å.
Space group P-6m2 (No. 187)
Inequivalent atoms, fractional coordinates:
Th  0.0000  0.0000  0.0000 (multiplicity 1)  6 Zn 3.16, 6 Ru 3.16
Zn  0.3333  0.6667  0.5000 (multiplicity 1)  3 Ru 2.54
Ru  0.6667  0.3333  0.5000 (multiplicity 1)  3 Zn 2.54


The following is a PBE-GGA calculation of a geometry-optimized GeSCl2 structure, from Alexandria.

uncorrected formation energy: -0.702 eV per atom
uncorrected energy: -3.81 eV per atom

a b c (Å): 6.4190 5.5062 17.7656
angles (deg): 90.00 111.15 90.00
Last column: nearest neighbours and their distance in Å.
Space group P2_1/c (No. 14)
Inequivalent atoms, fractional coordinates:
Ge  0.0683  0.0016  0.3182 (multiplicity 4)  2 Cl 2.15, 2 S 2.23
S  0.2101  0.2484  0.7500 (multiplicity 4)  2 Ge 2.23
Cl  0.0752  0.6923  0.1064 (multiplicity 4)  1 Ge 2.15
Cl  0.3623  0.6895  0.8934 (multiplicity 4)  1 Ge 2.15


The following is a PBE-GGA calculation of a geometry-optimized NbSiHg2Cl structure, from Alexandria.

uncorrected formation energy: 0.867 eV per atom
uncorrected energy: -2.72 eV per atom

a b c (Å): 5.1417 5.1417 4.7758
angles (deg): 90.00 90.00 90.00
Last column: nearest neighbours and their distance in Å.
Space group P4/mmm (No. 123)
Inequivalent atoms, fractional coordinates:
Nb  0.0000  0.0000  0.0000 (multiplicity 1)  8 Hg 3.51, 4 Cl 3.64
Si  0.5000  0.5000  0.5000 (multiplicity 1)  2 Cl 2.39, 4 Hg 2.57
Hg  0.0000  0.5000  0.5000 (multiplicity 2)  2 Si 2.57
Cl  0.5000  0.5000  0.0000 (multiplicity 1)  2 Si 2.39


The following is a PBE-GGA calculation of a geometry-optimized LaY6Tm structure, from Alexandria.

E_form: 1.19 eV per formula unit
uncorrected energy: -5.87 eV per atom

a b c (Å): 9.6715 9.6715 9.9546
angles (deg): 90.00 90.00 120.00
Last column: nearest neighbours and their distance in Å.
Space group R-3 (No. 148, hexagonal axes)
Inequivalent atoms, fractional coordinates:
La  0.0000  0.0000  0.0000 (multiplicity 3)  12 Y 3.54-3.79
Y  0.0017  0.7079  0.2521 (multiplicity 18)  4 Y 3.31-3.40, 1 Tm 3.53, 1 La 3.54
Tm  0.0000  0.0000  0.5000 (multiplicity 3)  12 Y 3.53-3.76


The following is a PBE-GGA calculation of a geometry-optimized CoTePb2 structure, from Alexandria.

uncorrected formation energy: 0.142 eV per atom
uncorrected energy: -4.27 eV per atom

a b c (Å): 4.7926 4.1373 6.1103
angles (deg): 90.00 111.25 90.00
Last column: nearest neighbours and their distance in Å.
Space group P2/m (No. 10)
Inequivalent atoms, fractional coordinates:
Co  0.0000  0.0000  0.0000 (multiplicity 1)  2 Te 2.40
Te  0.5000  0.0000  0.0000 (multiplicity 1)  2 Co 2.40
Pb  0.1616  0.5000  0.3022 (multiplicity 2)  2 Co 2.69


The following is a PBE-GGA calculation of a geometry-optimized Ti6Al2Sn structure, from Alexandria.

E_form: 1.47 eV per formula unit
uncorrected energy: -6.38 eV per atom

a b c (Å): 4.6607 5.5613 12.7320
angles (deg): 90.00 90.00 90.00
Last column: nearest neighbours and their distance in Å.
Space group Immm (No. 71)
Inequivalent atoms, fractional coordinates:
Ti  0.0000  0.2402  0.0000 (multiplicity 4)  3 Ti 2.42-2.67
Ti  0.0000  0.2478  0.1900 (multiplicity 8)  1 Ti 2.42
Al  0.0000  0.5000  0.3887 (multiplicity 4)  1 Al 2.83, 10 Ti 2.89-3.04, 2 Sn 3.12
Sn  0.0000  0.0000  0.5000 (multiplicity 2)  4 Ti 2.74


The following is a PBE-GGA calculation of a geometry-optimized NaMgN2O structure, from Alexandria.

uncorrected formation energy: 0.626 eV per atom
uncorrected energy: -4.28 eV per atom

a b c (Å): 4.2866 4.2866 3.9474
angles (deg): 90.00 90.00 90.00
Last column: nearest neighbours and their distance in Å.
Space group P4/mmm (No. 123)
Inequivalent atoms, fractional coordinates:
Na  0.0000  0.0000  0.0000 (multiplicity 1)  8 N 2.91, 4 O 3.03
Mg  0.5000  0.5000  0.5000 (multiplicity 1)  2 O 1.97, 4 N 2.14
N  0.0000  0.5000  0.5000 (multiplicity 2)  2 Mg 2.14
O  0.5000  0.5000  0.0000 (multiplicity 1)  2 Mg 1.97